i:
! MgGaF2 PBE relaxed; values from VASP
! Crystal system: tetragonal
! V, Å³/f.u.: 79
! N(E_F), states/eV per atom: 0.518
&SYSTEM
  ibrav = 0, nat = 8, ntyp = 3
/
ATOMIC_SPECIES
Mg 24.30 Mg.upf
Ga 69.72 Ga.upf
F 19.00 F.upf
ATOMIC_POSITIONS angstrom
Mg 2.9462 2.9462 0.0000
Mg 2.9462 5.8924 2.2798
Ga 0.0000 0.0000 0.0000
Ga 5.8924 2.9462 2.2798
F 3.2361 1.4731 1.1399
F 2.6563 4.4193 1.1399
F 4.4193 5.6025 3.4197
F 7.3655 6.1823 3.4197
CELL_PARAMETERS angstrom
5.8924 0.0000 0.0000
0.0000 5.8924 0.0000
2.9462 2.9462 4.5597



ii:
! MgGaF2 PBE relaxed; values from VASP
! Crystal system: cubic
! V, Å³/f.u.: 59
! N(E_F), states/eV per atom: 0.817
&SYSTEM
  ibrav = 0, nat = 4, ntyp = 3
/
ATOMIC_SPECIES
Mg 24.30 Mg.upf
Ga 69.72 Ga.upf
F 19.00 F.upf
ATOMIC_POSITIONS angstrom
Mg 0.0000 0.0000 0.0000
Ga 3.0939 3.0939 3.0939
F 1.5470 1.5470 1.5470
F 4.6409 4.6409 4.6409
CELL_PARAMETERS angstrom
0.0000 3.0939 3.0939
3.0939 0.0000 3.0939
3.0939 3.0939 0.0000



iii:
! MgGaF2 PBE relaxed; values from VASP
! Crystal system: trigonal
! V, Å³/f.u.: 78
! N(E_F), states/eV per atom: 0.164
&SYSTEM
  ibrav = 0, nat = 4, ntyp = 3
/
ATOMIC_SPECIES
Mg 24.30 Mg.upf
Ga 69.72 Ga.upf
F 19.00 F.upf
ATOMIC_POSITIONS angstrom
Mg 0.0000 0.0000 0.0000
Ga 5.2255 -8.8835 1.9640
F 9.5043 -16.1578 3.5722
F 0.9466 -1.6092 0.3558
CELL_PARAMETERS angstrom
3.2668 -5.5992 3.3480
2.0448 -6.9984 0.2704
5.1393 -5.1694 0.3096



iv:
! MgGaF2 PBE relaxed; values from VASP
! Crystal system: trigonal
! V, Å³/f.u.: 71
! N(E_F), states/eV per atom: 0.163
&SYSTEM
  ibrav = 0, nat = 4, ntyp = 3
/
ATOMIC_SPECIES
Mg 24.30 Mg.upf
Ga 69.72 Ga.upf
F 19.00 F.upf
ATOMIC_POSITIONS angstrom
Mg -2.3260 12.5001 3.9025
Ga 0.0000 0.0000 0.0000
F -4.0457 21.7420 6.7878
F -0.6063 3.2581 1.0172
CELL_PARAMETERS angstrom
-1.7504 7.7792 4.2579
0.0381 8.8106 2.0200
-2.9397 8.4104 1.5271



Most favorable structure: iv. The second most favorable one is 284 meV/atom above it.



i:
! MgGa2F PBE relaxed; values from VASP
! Crystal system: cubic
! V, Å³/f.u.: 74
! N(E_F), states/eV per atom: 0.683
&SYSTEM
  ibrav = 0, nat = 4, ntyp = 3
/
ATOMIC_SPECIES
Mg 24.30 Mg.upf
Ga 69.72 Ga.upf
F 19.00 F.upf
ATOMIC_POSITIONS angstrom
Mg -5.4044 -1.9399 0.5355
Ga -2.7022 -0.9700 0.2678
Ga -8.1066 -2.9099 0.8033
F 0.0000 0.0000 0.0000
CELL_PARAMETERS angstrom
-2.6644 -3.6171 1.4103
-4.1921 0.7989 1.9898
-3.9522 -1.0617 -2.3290



ii:
! MgGa2F PBE relaxed; values from VASP
! Crystal system: tetragonal
! V, Å³/f.u.: 72
! N(E_F), states/eV per atom: 0.289
&SYSTEM
  ibrav = 0, nat = 8, ntyp = 3
/
ATOMIC_SPECIES
Mg 24.30 Mg.upf
Ga 69.72 Ga.upf
F 19.00 F.upf
ATOMIC_POSITIONS angstrom
Mg 0.0000 0.0000 0.0000
Mg -3.2631 -6.1021 -0.2600
Ga -2.3478 -3.1702 -0.6610
Ga 0.0664 -3.9292 -0.6993
Ga -2.7736 -8.7939 1.1920
Ga -3.1990 -10.0379 -0.9708
F -0.4358 -1.2333 -2.1511
F -0.8639 -6.8635 -0.3095
CELL_PARAMETERS angstrom
-2.8349 -0.4718 -2.1016
1.9633 -1.9948 -2.2005
-3.2554 -10.4990 3.7326



Most favorable structure: ii. The second most favorable one is 374 meV/atom above it.



i:
! MgGa3F PBE relaxed; values from VASP
! Crystal system: cubic
! V, Å³/f.u.: 102
! N(E_F), states/eV per atom: 0.508
&SYSTEM
  ibrav = 0, nat = 5, ntyp = 3
/
ATOMIC_SPECIES
Mg 24.30 Mg.upf
Ga 69.72 Ga.upf
F 19.00 F.upf
ATOMIC_POSITIONS angstrom
Mg 2.3378 2.3378 2.3378
Ga 0.0000 2.3378 0.0000
Ga 0.0000 0.0000 2.3378
Ga 2.3378 0.0000 0.0000
F 0.0000 0.0000 0.0000
CELL_PARAMETERS angstrom
4.6757 0.0000 0.0000
0.0000 4.6757 0.0000
0.0000 0.0000 4.6757



ii:
! MgGa3F PBE relaxed; values from VASP
! Crystal system: cubic
! V, Å³/f.u.: 138
! N(E_F), states/eV per atom: 0.635
&SYSTEM
  ibrav = 0, nat = 5, ntyp = 3
/
ATOMIC_SPECIES
Mg 24.30 Mg.upf
Ga 69.72 Ga.upf
F 19.00 F.upf
ATOMIC_POSITIONS angstrom
Mg 0.0000 0.0000 0.0000
Ga 0.0000 2.5824 0.0000
Ga 0.0000 0.0000 2.5824
Ga 2.5824 0.0000 0.0000
F 2.5824 2.5824 2.5824
CELL_PARAMETERS angstrom
5.1648 0.0000 0.0000
0.0000 5.1648 0.0000
0.0000 0.0000 5.1648



Most favorable structure: i. The second most favorable one is 519 meV/atom above it.



i:
! MgGaNF2 PBE relaxed; values from VASP
! Crystal system: tetragonal
! V, Å³/f.u.: 64
! N(E_F), states/eV per atom: 0.572
&SYSTEM
  ibrav = 0, nat = 5, ntyp = 4
/
ATOMIC_SPECIES
Mg 24.30 Mg.upf
N 14.01 N.upf
Ga 69.72 Ga.upf
F 19.00 F.upf
ATOMIC_POSITIONS angstrom
Mg 0.0000 0.0000 0.0000
N -1.2107 1.2477 1.6147
Ga -1.7189 -0.9320 2.9178
F 0.8301 -0.9303 1.3413
F -1.3384 -1.2493 -0.0382
CELL_PARAMETERS angstrom
-2.6768 -2.4987 -0.0763
1.6603 -1.8606 2.6826
-2.4213 2.4953 3.2294



ii:
! MgGaNF2 PBE relaxed; values from VASP
! Crystal system: tetragonal
! V, Å³/f.u.: 60
! N(E_F), states/eV per atom: 0.201
&SYSTEM
  ibrav = 0, nat = 5, ntyp = 4
/
ATOMIC_SPECIES
Mg 24.30 Mg.upf
N 14.01 N.upf
Ga 69.72 Ga.upf
F 19.00 F.upf
ATOMIC_POSITIONS angstrom
Mg -1.6497 1.7675 2.3747
N 0.7828 0.6202 1.6532
Ga 0.0000 0.0000 0.0000
F -1.5914 -0.6136 0.9838
F -0.8411 1.7609 -0.2624
CELL_PARAMETERS angstrom
-1.6822 3.5218 -0.5247
-3.1829 -1.2272 1.9675
1.5657 1.2405 3.3065



Most favorable structure: ii. The second most favorable one is 24 meV/atom above it.